Entry 1:
Entry from Alexandria: a geometry-optimized MnAs3 structure (PBE).

Calculated values
Energy above the lowest structure with this stoichiometry: 159 meV per atom
D(E_F): 0.69 states/eV per atom
Calculated total energy: -5.62 eV per atom
DFT formation energy: 3.74 kcal/mol of atoms

abc: 7.792 7.792 2.897
angles: 90.00 90.00 120.00
Sites, in units of the cell vectors:
Mn 0.333 0.667 0.250
Mn 0.667 0.333 0.750
As 0.193 0.386 0.750
As 0.193 0.807 0.750
As 0.386 0.193 0.250
As 0.614 0.807 0.750
As 0.807 0.193 0.250
As 0.807 0.614 0.250

Entry 2:
Entry from Alexandria: a geometry-optimized MnAs2 structure (PBE).

Calculated values
D(E_F): 0.42 states/eV per atom
Calculated total energy: -5.67 eV per atom
DFT formation energy: 11.19 kcal/mol of atoms

abc: 5.107 5.107 11.707
angles: 90.00 90.00 120.00
Sites, in units of the cell vectors:
Mn 0.333 0.667 0.069
Mn 0.333 0.667 0.431
Mn 0.667 0.333 0.569
Mn 0.667 0.333 0.931
As 0.000 0.000 0.000
As 0.000 0.000 0.500
As 0.165 0.330 0.250
As 0.165 0.835 0.250
As 0.330 0.165 0.750
As 0.670 0.835 0.250
As 0.835 0.165 0.750
As 0.835 0.670 0.750

Entry 3:
Entry from Alexandria: a geometry-optimized MnAs3 structure (PBE).

Calculated values
Energy above the lowest structure with this stoichiometry: 0 meV per atom
D(E_F): 0.44 states/eV per atom
Calculated total energy: -5.78 eV per atom
DFT formation energy: 0.07 kcal/mol of atoms

abc: 3.356 7.898 5.310
angles: 90.00 90.00 90.00
Sites, in units of the cell vectors:
Mn 0.250 0.250 0.060
Mn 0.750 0.750 0.940
As 0.250 0.566 0.189
As 0.250 0.750 0.604
As 0.250 0.934 0.189
As 0.750 0.066 0.811
As 0.750 0.250 0.396
As 0.750 0.434 0.811

Entry 4:
Entry from Alexandria: a geometry-optimized MnAs3 structure (PBE).

Calculated values
Energy above the lowest structure with this stoichiometry: 382 meV per atom
D(E_F): 0.47 states/eV per atom
Calculated total energy: -5.39 eV per atom
DFT formation energy: 8.89 kcal/mol of atoms

abc: 4.185 4.185 4.185
angles: 90.00 90.00 90.00
Sites, in units of the cell vectors:
Mn 0.000 0.000 0.000
As 0.000 0.500 0.500
As 0.500 0.000 0.500
As 0.500 0.500 0.000

Entry 5:
Entry from Alexandria: a geometry-optimized Mn4As3 structure (PBE).

Calculated values
Energy above the lowest structure with this stoichiometry: 0 meV per atom
D(E_F): 0.70 states/eV per atom
Calculated total energy: -7.41 eV per atom
DFT formation energy: -4.01 kcal/mol of atoms

abc: 6.741 6.741 9.375
angles: 103.29 103.29 30.41
Sites, in units of the cell vectors:
Mn 0.000 0.000 0.000
Mn 0.000 0.000 0.500
Mn 0.218 0.218 0.665
Mn 0.343 0.343 0.051
Mn 0.432 0.432 0.789
Mn 0.568 0.568 0.211
Mn 0.657 0.657 0.949
Mn 0.782 0.782 0.335
As 0.063 0.063 0.773
As 0.186 0.186 0.153
As 0.363 0.363 0.521
As 0.637 0.637 0.479
As 0.814 0.814 0.847
As 0.937 0.937 0.227

Entry 6:
Entry from Alexandria: a geometry-optimized MnAs3 structure (PBE).

Calculated values
Energy above the lowest structure with this stoichiometry: 333 meV per atom
D(E_F): 0.52 states/eV per atom
Calculated total energy: -5.44 eV per atom
DFT formation energy: 7.76 kcal/mol of atoms

abc: 5.209 5.209 5.209
angles: 90.00 90.00 90.00
Sites, in units of the cell vectors:
Mn 0.000 0.000 0.000
Mn 0.500 0.500 0.500
As 0.000 0.250 0.500
As 0.000 0.750 0.500
As 0.250 0.500 0.000
As 0.500 0.000 0.250
As 0.500 0.000 0.750
As 0.750 0.500 0.000